Record 1
Material: ZrRe2Tc
Method: DFT, PBE-GGA
State: optimized geometry

a b c (Å): 3.1708 4.4683 4.5898
angles (deg): 90.00 90.00 90.00
Closest atoms and distances in Å follow each position.
Fractional coordinates of all 4 atoms:
Zr 0.0000 0.0000 0.0000  4 Tc 2.74, 4 Re 2.79
Re 0.0000 0.5000 0.5000  4 Re 2.74, 4 Tc 2.79
Re 0.5000 0.0000 0.5000  4 Re 2.74, 4 Zr 2.79
Tc 0.5000 0.5000 0.0000  4 Zr 2.74, 4 Re 2.79

Summary:
The total energy is -11.019 eV per atom. The calculation puts the formation energy at -66.7 meV per atom. As for the energy above the most stable polymorph in this dataset: 0 meV/atom. As for the density of states at the Fermi level: 0.574 states/eV/atom.


Record 2
Material: VPBrN
Method: DFT, PBE-GGA
State: optimized geometry

a b c (Å): 2.9826 2.9826 7.4900
angles (deg): 90.00 90.00 90.00
Closest atoms and distances in Å follow each position.
Fractional coordinates of all 4 atoms:
V 0.0000 0.0000 0.0000  4 N 2.11
P 0.5000 0.5000 0.2211  1 N 1.75
Br 0.0000 0.0000 0.6727  1 V 2.45
N 0.5000 0.5000 0.9880  1 P 1.75

Summary:
The total energy is -6.335 eV per atom. As for the energy above the most stable polymorph in this dataset: 160 meV/atom. The formation energy from raw total energies comes out at -0.81 eV/f.u. As for the density of states at the Fermi level: 0.770 states/eV/atom.


Record 3
Material: Si3NiI
Method: DFT, PBE-GGA
State: optimized geometry

a b c (Å): 3.9331 3.9336 13.7357
angles (deg): 98.22 98.03 90.09
Closest atoms and distances in Å follow each position.
Fractional coordinates of all 10 atoms:
Si 0.0000 0.0000 0.0000  2 Si 2.41-2.43, 2 Ni 2.47-2.50, 1 I 2.51
Si 0.0210 0.0257 0.3991  2 Si 2.42-2.43, 2 Ni 2.47-2.50, 1 I 2.51
Si 0.3616 0.5022 0.0071  2 Ni 2.27-2.42, 2 Si 2.41-2.43
Si 0.4331 0.5903 0.1996  4 Ni 2.36, 2 Si 2.59
Si 0.5187 0.6640 0.3920  2 Ni 2.27-2.42, 2 Si 2.42-2.43
Si 0.9183 0.1056 0.1995  4 Ni 2.36-2.37
Ni 0.4668 0.1388 0.2967  8 Si 2.27-2.50
Ni 0.8858 0.5563 0.1024  8 Si 2.27-2.50
I 0.1016 0.3297 0.5747  1 Si 2.51
I 0.6979 0.9172 0.8244  1 Si 2.51

Summary:
The total energy is -4.836 eV per atom. As for the energy above the most stable polymorph in this dataset: 2 meV/atom. The formation energy from raw total energies comes out at -0.58 eV/f.u. As for the density of states at the Fermi level: 0.085 states/eV/atom.


- Number 1 is which compound?
  ZrRe2Tc


Repeat the first record exactly.
Material: ZrRe2Tc
Method: DFT, PBE-GGA
State: optimized geometry

a b c (Å): 3.1708 4.4683 4.5898
angles (deg): 90.00 90.00 90.00
Closest atoms and distances in Å follow each position.
Fractional coordinates of all 4 atoms:
Zr 0.0000 0.0000 0.0000  4 Tc 2.74, 4 Re 2.79
Re 0.0000 0.5000 0.5000  4 Re 2.74, 4 Tc 2.79
Re 0.5000 0.0000 0.5000  4 Re 2.74, 4 Zr 2.79
Tc 0.5000 0.5000 0.0000  4 Zr 2.74, 4 Re 2.79

Summary:
The total energy is -11.019 eV per atom. The calculation puts the formation energy at -66.7 meV per atom. As for the energy above the most stable polymorph in this dataset: 0 meV/atom. As for the density of states at the Fermi level: 0.574 states/eV/atom.